Here is MnW2Cl at its PBEsol-relaxed geometry from Alexandria. Energies are from meta-GGA SCAN.

The value obtained for the uncorrected formation energy is 96 kJ/mol of atoms.

It has space group Fm-3m (No. 225), with a = 6.069 Å, b = 6.069 Å, c = 6.069 Å, α = 90.00°, β = 90.00° and γ = 90.00°. The inequivalent atoms are Mn at (0.000, 0.000, 0.000), W at (0.250, 0.250, 0.250) and Cl at (0.000, 0.000, 0.500).


Here is La2YNbP at its PBEsol-relaxed geometry from Alexandria. Energies are from meta-GGA SCAN.

The energy of formation is 29.5 kJ/mol of atoms.

It has space group P4/mmm (No. 123), with a = 5.360 Å, b = 5.360 Å, c = 5.248 Å, α = 90.00°, β = 90.00° and γ = 90.00°. The inequivalent atoms are La at (0.000, 0.500, 0.000), Y at (0.000, 0.000, 0.500), Nb at (0.000, 0.000, 0.000) and P at (0.500, 0.500, 0.500).


Here is YTaRe3 at its PBEsol-relaxed geometry from Alexandria. Energies are from meta-GGA SCAN.

The energy of formation is 293.2 kJ/mol of atoms.

It has space group Pm-3m (No. 221), with a = 4.612 Å, b = 4.612 Å, c = 4.612 Å, α = 90.00°, β = 90.00° and γ = 90.00°. The inequivalent atoms are Y at (0.000, 0.000, 0.000), Ta at (0.500, 0.500, 0.500) and Re at (0.000, 0.000, 0.500).


Here is TcAsRu at its PBEsol-relaxed geometry from Alexandria. Energies are from meta-GGA SCAN.

Its energy above the most stable polymorph in this dataset is 0.009 eV per atom. The energy of formation is 1.1 kJ/mol of atoms.

It has space group P3m1 (No. 156), with a = 4.1559 Å, b = 4.1559 Å, c = 2.8104 Å, α = 90.00°, β = 90.00° and γ = 120.00°. The inequivalent atoms are Tc at (0.0000, 0.0000, 0.0000), As at (0.3333, 0.6667, 0.7409) and Ru at (0.6667, 0.3333, 0.4969).


Here is BeAgRh2 at its PBEsol-relaxed geometry from Alexandria. Energies are from meta-GGA SCAN.

The energy of formation is -0.5 kJ/mol of atoms.

It has space group Amm2 (No. 38), with a = 3.499 Å, b = 2.686 Å, c = 11.318 Å, α = 90.00°, β = 90.00° and γ = 90.00°. The inequivalent atoms are Be at (0.000, 0.000, 0.000), Ag at (0.500, 0.000, 0.149), Rh at (0.000, 0.000, 0.798) and Rh at (0.500, 0.000, 0.430).


Here is Te2SeBrN at its PBEsol-relaxed geometry from Alexandria. Energies are from meta-GGA SCAN.

The value obtained for the uncorrected formation energy is 96 kJ/mol of atoms.

It has space group P4/mmm (No. 123), with a = 5.823 Å, b = 5.823 Å, c = 3.566 Å, α = 90.00°, β = 90.00° and γ = 90.00°. The inequivalent atoms are Te at (0.000, 0.500, 0.000), Se at (0.000, 0.000, 0.000), Br at (0.500, 0.500, 0.500) and N at (0.000, 0.000, 0.500).


Here is SrLaMn2 at its PBEsol-relaxed geometry from Alexandria. Energies are from meta-GGA SCAN.

Its energy above the most stable polymorph in this dataset is 0.121 eV per atom. The energy of formation is 28.0 kJ/mol of atoms.

It has space group Amm2 (No. 38), with a = 3.617 Å, b = 4.671 Å, c = 11.860 Å, α = 90.00°, β = 90.00° and γ = 90.00°. The inequivalent atoms are Sr at (0.000, 0.000, 0.000), La at (0.500, 0.000, 0.720), Mn at (0.000, 0.000, 0.294) and Mn at (0.500, 0.000, 0.395).


Here is Li2Sn2S3O12 at its PBEsol-relaxed geometry from Alexandria. Energies are from meta-GGA SCAN.

The value obtained for the uncorrected formation energy is -166 kJ/mol of atoms.

It has space group Pbcn (No. 60), with a = 13.524 Å, b = 8.793 Å, c = 8.936 Å, α = 90.00°, β = 90.00° and γ = 90.00°. The inequivalent atoms are Li at (0.188, 0.198, 0.239), Sn at (0.082, 0.239, 0.570), S at (0.000, 0.413, 0.250), S at (0.186, 0.099, 0.953), O at (0.053, 0.498, 0.638), O at (0.074, 0.312, 0.328), O at (0.096, 0.143, 0.037), O at (0.183, 0.068, 0.422), O at (0.199, 0.180, 0.810) and O at (0.229, 0.367, 0.557).


Here is BeSbTe2P at its PBEsol-relaxed geometry from Alexandria. Energies are from meta-GGA SCAN.

The value obtained for the uncorrected formation energy is 100 kJ/mol of atoms.

It has space group P4/mmm (No. 123), with a = 5.081 Å, b = 5.081 Å, c = 5.209 Å, α = 90.00°, β = 90.00° and γ = 90.00°. The inequivalent atoms are Be at (0.000, 0.000, 0.000), Sb at (0.500, 0.500, 0.000), Te at (0.000, 0.500, 0.500) and P at (0.500, 0.500, 0.500).


Here is Sc3Cu at its PBEsol-relaxed geometry from Alexandria. Energies are from meta-GGA SCAN.

Its energy above the most stable polymorph in this dataset is 0.054 eV per atom. The energy of formation is -12.3 kJ/mol of atoms.

It has space group P4/mmm (No. 123), with a = 3.179 Å, b = 3.179 Å, c = 8.014 Å, α = 90.00°, β = 90.00° and γ = 90.00°. The inequivalent atoms are Sc at (0.000, 0.000, 0.000), Sc at (0.500, 0.500, 0.297) and Cu at (0.000, 0.000, 0.500).